Below is a relaxed structure of AsICl3, with properties calculated at the GGA-PBE level. Values from VASP.

```
&SYSTEM
  ibrav = 0, nat = 5, ntyp = 3
/
ATOMIC_SPECIES
As 74.92 As.upf
I 126.90 I.upf
Cl 35.45 Cl.upf
ATOMIC_POSITIONS crystal
As 0.0000 0.0000 0.0000
I 0.5000 0.5000 0.5000
Cl 0.0000 0.0000 0.5000
Cl 0.0000 0.5000 0.0000
Cl 0.5000 0.0000 0.0000
CELL_PARAMETERS angstrom
5.1086 0.0000 0.0000
0.0000 5.1086 0.0000
0.0000 0.0000 5.1086
```

* offset from the most stable computed form: 318 meV per atom
* space-group type: Pm-3m (221)
* M_tot: 1.06 μB per formula unit
* mass density: 3.84 g cm⁻³